<one>
A plane-wave DFT calculation with PBE was carried out for a relaxed structure of Nd6SmY4.

a = 6.611 Å, b = 6.611 Å, c = 17.637 Å
α = 90.00°, β = 90.00°, γ = 90.00°
Space group I-42m (No. 121)
Symmetry-distinct sites (fractional):
1 Nd 0.000 0.500 0.000 x4
2 Nd 0.178 0.178 0.133 x8
3 Sm 0.000 0.000 0.500 x2
4 Y 0.186 0.186 0.323 x8

Properties
Crystal system = tetragonal


<two>
A plane-wave DFT calculation with PBE was carried out for a relaxed structure of Nd6SmY4.

a = 6.828 Å, b = 6.828 Å, c = 16.707 Å
α = 90.00°, β = 90.00°, γ = 90.00°
Space group I-42m (No. 121)
Symmetry-distinct sites (fractional):
1 Nd 0.000 0.500 0.000 x4
2 Nd 0.190 0.190 0.176 x8
3 Sm 0.000 0.000 0.000 x2
4 Y 0.176 0.176 0.382 x8

Properties
Crystal system = tetragonal


Which structure loses on stability? <two> does.


<one>
A plane-wave DFT calculation with PBE was carried out for a relaxed structure of Nd2Sm5Y12.

a = 6.234 Å, b = 9.506 Å, c = 11.371 Å
α = 83.16°, β = 79.44°, γ = 70.93°
Space group P-1 (No. 2)
Symmetry-distinct sites (fractional):
1 Nd 0.237 0.474 0.079 x2
2 Sm 0.026 0.052 0.343 x2
3 Sm 0.290 0.578 0.762 x2
4 Sm 0.500 0.000 0.500 x1
5 Y 0.079 0.156 0.027 x2
6 Y 0.132 0.262 0.710 x2
7 Y 0.184 0.369 0.395 x2
8 Y 0.342 0.684 0.448 x2
9 Y 0.394 0.791 0.132 x2
10 Y 0.446 0.896 0.816 x2

Properties
Crystal system = triclinic


<two>
A plane-wave DFT calculation with PBE was carried out for a relaxed structure of Nd2Sm5Y12.

a = 15.651 Å, b = 9.416 Å, c = 8.716 Å
α = 90.00°, β = 92.12°, γ = 90.00°
Space group C2/m (No. 12)
Symmetry-distinct sites (fractional):
1 Nd 0.000 0.175 0.000 x4
2 Sm 0.000 0.500 0.500 x2
3 Sm 0.205 0.000 0.020 x4
4 Sm 0.230 0.500 0.573 x4
5 Y 0.057 0.000 0.333 x4
6 Y 0.076 0.500 0.874 x4
7 Y 0.129 0.190 0.662 x8
8 Y 0.149 0.322 0.240 x8

Properties
Crystal system = monoclinic


Which structure loses on stability? <two> does.


<one>
A plane-wave DFT calculation with PBE was carried out for a relaxed structure of Nd3Sm4Y4.

a = 3.575 Å, b = 11.442 Å, c = 18.745 Å
α = 90.00°, β = 90.00°, γ = 90.00°
Space group Immm (No. 71)
Symmetry-distinct sites (fractional):
1 Nd 0.000 0.000 0.000 x2
2 Nd 0.000 0.500 0.105 x4
3 Sm 0.000 0.257 0.330 x8
4 Y 0.000 0.000 0.223 x4
5 Y 0.000 0.214 0.500 x4

Properties
Crystal system = orthorhombic


<two>
A plane-wave DFT calculation with PBE was carried out for a relaxed structure of Nd3Sm4Y4.

a = 10.730 Å, b = 5.777 Å, c = 12.167 Å
α = 90.00°, β = 90.00°, γ = 90.00°
Space group Amm2 (No. 38)
Symmetry-distinct sites (fractional):
1 Nd 0.000 0.000 0.000 x2
2 Nd 0.296 0.000 0.150 x4
3 Sm 0.000 0.000 0.705 x2
4 Sm 0.211 0.000 0.502 x4
5 Sm 0.500 0.000 0.630 x2
6 Y 0.000 0.000 0.301 x2
7 Y 0.297 0.000 0.846 x4
8 Y 0.500 0.000 0.359 x2

Properties
Crystal system = orthorhombic


Which structure loses on stability? <one> does.


<one>
A plane-wave DFT calculation with PBE was carried out for a relaxed structure of Nd2Sm4Y5.

a = 11.233 Å, b = 7.542 Å, c = 9.286 Å
α = 90.00°, β = 107.43°, γ = 90.00°
Space group C2/m (No. 12)
Symmetry-distinct sites (fractional):
1 Nd 0.145 0.000 0.127 x4
2 Sm 0.176 0.500 0.126 x4
3 Sm 0.181 0.500 0.498 x4
4 Y 0.000 0.000 0.500 x2
5 Y 0.067 0.281 0.780 x8

Properties
Crystal system = monoclinic


<two>
A plane-wave DFT calculation with PBE was carried out for a relaxed structure of Nd2Sm4Y5.

a = 24.183 Å, b = 3.489 Å, c = 8.849 Å
α = 90.00°, β = 96.25°, γ = 90.00°
Space group C2/m (No. 12)
Symmetry-distinct sites (fractional):
1 Nd 0.090 0.000 0.238 x4
2 Sm 0.046 0.000 0.860 x4
3 Sm 0.178 0.500 0.971 x4
4 Y 0.000 0.500 0.500 x2
5 Y 0.141 0.000 0.617 x4
6 Y 0.232 0.000 0.326 x4

Properties
Crystal system = monoclinic


Which structure loses on stability? <two> does.